Computed, not measured: a relaxed structure of Y12HoTm2 at the PBE-GGA level of DFT.

Calculated values
E_tot in eV per cell: -171.6
Energy of formation in eV/atom: 0.3511

Geometry as POSCAR:
```
Y12HoTm2
1.0
-6.313 0.293 -1.014
0.904 -1.667 -6.113
-2.135 -24.218 6.287
Y Tm Ho
24 4 2
direct
0.816 0.316 0.885 Y
0.331 0.831 0.439 Y
0.169 0.669 0.561 Y
0.000 0.000 0.661 Y
0.316 0.184 0.885 Y
0.500 0.500 0.215 Y
0.500 0.500 0.661 Y
0.000 0.000 0.339 Y
0.831 0.669 0.439 Y
0.316 0.816 0.115 Y
0.669 0.169 0.439 Y
0.684 0.816 0.885 Y
0.831 0.331 0.561 Y
0.500 0.500 0.785 Y
0.331 0.169 0.561 Y
0.184 0.316 0.115 Y
0.000 0.000 0.215 Y
0.684 0.184 0.115 Y
0.000 0.000 0.785 Y
0.169 0.331 0.439 Y
0.816 0.684 0.115 Y
0.669 0.831 0.561 Y
0.500 0.500 0.339 Y
0.184 0.684 0.885 Y
0.500 0.000 0.275 Tm
0.500 0.000 0.725 Tm
0.000 0.500 0.275 Tm
0.000 0.500 0.725 Tm
0.000 0.500 0.000 Ho
0.500 0.000 0.000 Ho
```